[1]
First-principles (GGA-PBE) data for a geometry-optimized B5C7 structure, as listed in the Alexandria database.

Calculated values
ΔE to the lowest computed polymorph: 0.149 eV/atom
DOS at the Fermi energy: 2.4 states/eV/f.u.

```
data_B5C7
_chemical_formula_sum 'B5 C7'
_cell_length_a 4.631
_cell_length_b 2.538
_cell_length_c 6.771
_cell_angle_alpha 90.00
_cell_angle_beta 91.20
_cell_angle_gamma 90.00
_symmetry_space_group_name_H-M 'P 1 m 1'
_symmetry_Int_Tables_number 6
loop_
_symmetry_equiv_pos_as_xyz
'x,y,z'
'x,-y,z'
loop_
_atom_site_label
_atom_site_type_symbol
_atom_site_fract_x
_atom_site_fract_y
_atom_site_fract_z
B1 B 0.000 0.000 0.000
B2 B 0.046 0.000 0.254
B3 B 0.173 0.500 0.864
B4 B 0.593 0.500 0.025
B5 B 0.683 0.000 0.668
C1 C 0.201 0.500 0.635
C2 C 0.355 0.000 0.561
C3 C 0.384 0.000 0.332
C4 C 0.544 0.500 0.262
C5 C 0.658 0.000 0.905
C6 C 0.856 0.500 0.351
C7 C 0.874 0.500 0.571
```

---

[2]
First-principles (GGA-PBE) data for a geometry-optimized Ga2AgIr2 structure, as listed in the Alexandria database.

Calculated values
ΔE to the lowest computed polymorph: 0.000 eV/atom
DOS at the Fermi energy: 1.4 states/eV/f.u.

```
data_Ga2AgIr2
_chemical_formula_sum 'Ga4 Ag2 Ir4'
_cell_length_a 7.311
_cell_length_b 7.311
_cell_length_c 2.939
_cell_angle_alpha 90.00
_cell_angle_beta 90.00
_cell_angle_gamma 90.00
_symmetry_space_group_name_H-M 'P 4/m b m'
_symmetry_Int_Tables_number 127
_symmetry_space_group_name_Hall '-P 4 2ab'
loop_
_atom_site_label
_atom_site_type_symbol
_atom_site_fract_x
_atom_site_fract_y
_atom_site_fract_z
Ga1 Ga 0.155 0.345 0.000
Ag1 Ag 0.000 0.000 0.500
Ir1 Ir 0.143 0.643 0.500
```

---

[3]
First-principles (GGA-PBE) data for a geometry-optimized CaY2P structure, as listed in the Alexandria database.

Calculated values
total energy: -5.62 eV/atom
DOS at the Fermi energy: 3.4 states/eV/f.u.

```
data_CaY2P
_chemical_formula_sum 'Ca2 Y4 P2'
_cell_length_a 5.126
_cell_length_b 5.138
_cell_length_c 8.690
_cell_angle_alpha 90.00
_cell_angle_beta 90.00
_cell_angle_gamma 90.00
_symmetry_space_group_name_H-M 'C m m 2'
_symmetry_Int_Tables_number 35
loop_
_symmetry_equiv_pos_as_xyz
'x,y,z'
'-x,-y,z'
'-x,y,z'
'x,-y,z'
'x+1/2,y+1/2,z'
'-x+1/2,-y+1/2,z'
'-x+1/2,y+1/2,z'
'x+1/2,-y+1/2,z'
loop_
_atom_site_label
_atom_site_type_symbol
_atom_site_fract_x
_atom_site_fract_y
_atom_site_fract_z
Ca1 Ca 0.000 0.000 0.000
Y1 Y 0.000 0.000 0.361
Y2 Y 0.000 0.500 0.652
P1 P 0.000 0.500 0.211
```

---

[4]
First-principles (GGA-PBE) data for a geometry-optimized Tm6TlTe3 structure, as listed in the Alexandria database.

Calculated values
total energy: -4.59 eV/atom
DOS at the Fermi energy: 8.4 states/eV/f.u.

```
data_Tm6TlTe3
_chemical_formula_sum 'Tm12 Tl2 Te6'
_cell_length_a 11.937
_cell_length_b 3.961
_cell_length_c 12.700
_cell_angle_alpha 90.00
_cell_angle_beta 103.51
_cell_angle_gamma 90.00
_symmetry_space_group_name_H-M 'P 1 21/m 1'
_symmetry_Int_Tables_number 11
loop_
_symmetry_equiv_pos_as_xyz
'x,y,z'
'-x,-y,-z'
'-x,y+1/2,-z'
'x,-y+1/2,z'
loop_
_atom_site_label
_atom_site_type_symbol
_atom_site_fract_x
_atom_site_fract_y
_atom_site_fract_z
Tm1 Tm 0.015 0.250 0.348
Tm2 Tm 0.079 0.250 0.880
Tm3 Tm 0.248 0.750 0.299
Tm4 Tm 0.284 0.750 0.756
Tm5 Tm 0.378 0.250 0.531
Tm6 Tm 0.444 0.750 0.120
Tl1 Tl 0.462 0.250 0.311
Te1 Te 0.116 0.250 0.133
Te2 Te 0.169 0.750 0.513
Te3 Te 0.336 0.250 0.947
```